(1)
Density functional theory data (SCAN) for BeFe2Hg at its PBEsol-relaxed geometry.

```
BeFe2Hg
1.0
-0.108 4.094 0.639
-2.448 1.573 2.951
1.667 1.606 3.438
Fe Be Hg
2 1 1
Direct
0.750 0.750 0.750
0.000 0.000 0.000
0.500 0.500 0.500
0.250 0.250 0.250
```

Summary:
DFT total energy	-27.00	eV per atom
ΔE_f	0.192	eV per atom
relative energy among the computed polymorphs	0.0	meV per atom


(2)
Density functional theory data (SCAN) for BeFe2Hg at its PBEsol-relaxed geometry.

```
BeFe2Hg
1.0
2.764 0.000 0.000
-1.382 4.018 0.030
0.000 -0.972 4.626
Fe Hg Be
2 1 1
Direct
0.000 0.001 0.995
0.262 0.523 0.816
0.499 0.998 0.487
0.739 0.478 0.202
```

Summary:
DFT total energy	-26.94	eV per atom
ΔE_f	0.256	eV per atom
relative energy among the computed polymorphs	64.0	meV per atom


(3)
Density functional theory data (SCAN) for KBeFeI2 at its PBEsol-relaxed geometry.

```
KBeFeI2
1.0
-2.332 3.287 1.809
1.973 -1.327 4.954
4.230 3.424 -0.768
K I Be Fe
1 2 1 1
Direct
0.500 0.500 0.500
0.000 0.500 0.000
0.000 0.000 0.500
0.000 0.000 0.000
0.500 0.000 0.000
```

Summary:
DFT total energy	-20.79	eV per atom
E_form (uncorrected)	70	meV per atom


(4)
Density functional theory data (SCAN) for BeFeI2N at its PBEsol-relaxed geometry.

```
BeFeI2N
1.0
-1.968 -2.413 0.633
2.852 -1.177 4.381
-3.092 3.282 2.895
Fe N Be I
1 1 1 2
Direct
0.500 0.500 0.500
0.500 0.000 0.000
0.000 0.000 0.000
0.000 0.000 0.500
0.000 0.500 0.000
```

Summary:
DFT total energy	-20.38	eV per atom
E_form (uncorrected)	669	meV per atom


(5)
Density functional theory data (SCAN) for BeFeIN2 at its PBEsol-relaxed geometry.

```
BeFeIN2
1.0
3.531 0.000 0.000
0.000 3.531 0.000
0.000 0.000 5.807
Be N I Fe
1 2 1 1
Direct
0.500 0.500 0.500
0.500 0.000 0.000
0.000 0.500 0.000
0.000 0.000 0.500
0.000 0.000 0.000
```

Summary:
DFT total energy	-14.46	eV per atom
E_form (uncorrected)	1102	meV per atom


(6)
Density functional theory data (SCAN) for BeFeIO2 at its PBEsol-relaxed geometry.

```
BeFeIO2
1.0
3.554 0.000 0.000
0.000 3.554 0.000
0.000 0.000 5.420
O I Be Fe
2 1 1 1
Direct
0.500 0.000 0.000
0.000 0.500 0.000
0.000 0.000 0.500
0.000 0.000 0.000
0.500 0.500 0.500
```

Summary:
DFT total energy	-14.56	eV per atom
E_form (uncorrected)	-223	meV per atom


(7)
Density functional theory data (SCAN) for TiBe2FeI at its PBEsol-relaxed geometry.

```
TiBe2FeI
1.0
4.193 0.000 0.000
0.000 4.700 0.000
0.000 0.000 4.700
I Fe Ti Be
1 1 1 2
Direct
0.500 0.500 0.500
0.500 0.000 0.000
0.000 0.000 0.000
0.000 0.500 0.000
0.000 0.000 0.500
```

Summary:
DFT total energy	-14.39	eV per atom
E_form (uncorrected)	1536	meV per atom


(8)
Density functional theory data (SCAN) for BeInFe2 at its PBEsol-relaxed geometry.

```
BeInFe2
1.0
2.657 0.000 0.014
0.000 3.917 0.000
-0.637 0.000 4.955
In Fe Be
1 2 1
Direct
0.390 0.000 0.488
0.971 0.000 0.971
0.808 0.500 0.214
0.331 0.500 0.827
```

Summary:
DFT total energy	-18.35	eV per atom
ΔE_f	0.153	eV per atom
relative energy among the computed polymorphs	0.0	meV per atom


(9)
Density functional theory data (SCAN) for BeIn2Fe at its PBEsol-relaxed geometry.

```
BeIn2Fe
1.0
-2.158 -2.749 -0.221
2.391 -2.038 1.997
-1.102 2.763 4.139
In Fe Be
2 1 1
Direct
0.277 0.500 0.554
0.977 0.000 0.954
0.563 0.500 0.125
0.683 0.000 0.366
```

Summary:
DFT total energy	-22.02	eV per atom
ΔE_f	0.294	eV per atom


(10)
Density functional theory data (SCAN) for BeInFe2 at its PBEsol-relaxed geometry.

```
BeInFe2
1.0
4.105 0.000 0.000
2.053 3.555 0.000
2.053 1.185 3.352
Fe Be In
2 1 1
Direct
0.250 0.250 0.250
0.750 0.750 0.750
0.000 0.000 0.000
0.500 0.500 0.500
```

Summary:
DFT total energy	-18.15	eV per atom
ΔE_f	0.354	eV per atom
relative energy among the computed polymorphs	201.3	meV per atom


(11)
Density functional theory data (SCAN) for Be2FeIr at its PBEsol-relaxed geometry.

```
Be2FeIr
1.0
2.771 0.000 0.000
0.000 3.797 0.000
0.000 0.000 3.797
Fe Be Ir
1 2 1
Direct
0.500 0.500 0.500
0.000 0.500 0.000
0.000 0.000 0.500
0.500 0.000 0.000
```

Summary:
DFT total energy	-24.98	eV per atom
ΔE_f	-0.494	eV per atom


(12)
Density functional theory data (SCAN) for BeFeIr at its PBEsol-relaxed geometry.

```
BeFeIr
1.0
3.709 0.000 0.000
1.854 3.212 0.000
1.854 1.071 3.028
Be Fe Ir
1 1 1
Direct
0.250 0.250 0.250
0.000 0.000 0.000
0.500 0.500 0.500
```

Summary:
DFT total energy	-31.30	eV per atom
ΔE_f	-0.107	eV per atom
relative energy among the computed polymorphs	84.8	meV per atom


(13)
Density functional theory data (SCAN) for BeFeIr at its PBEsol-relaxed geometry.

```
BeFeIr
1.0
-0.979 2.022 -1.351
-3.174 -0.928 0.911
2.314 1.549 3.183
Be Fe Ir
1 1 1
Direct
0.001 0.001 0.002
0.665 0.665 0.330
0.334 0.334 0.668
```

Summary:
DFT total energy	-31.29	eV per atom
ΔE_f	-0.100	eV per atom
relative energy among the computed polymorphs	92.0	meV per atom


(14)
Density functional theory data (SCAN) for Be2FeIr at its PBEsol-relaxed geometry.

```
Be2FeIr
1.0
4.869 -0.007 0.000
-2.343 4.268 0.000
-1.263 -2.131 4.192
Ir Fe Be
2 2 4
Direct
0.000 0.000 0.000
0.250 0.750 0.500
0.750 0.250 0.500
0.500 0.500 0.000
0.867 0.875 0.492
0.125 0.617 0.992
0.625 0.133 0.008
0.383 0.375 0.508
```

Summary:
DFT total energy	-24.48	eV per atom
ΔE_f	0.004	eV per atom


(15)
Density functional theory data (SCAN) for Be2FeIr at its PBEsol-relaxed geometry.

```
Be2FeIr
1.0
3.399 0.000 0.000
0.000 3.399 0.000
-1.699 -1.699 3.644
Be Fe Ir
2 1 1
Direct
0.000 0.000 0.000
0.750 0.250 0.500
0.500 0.500 0.000
0.250 0.750 0.500
```

Summary:
DFT total energy	-24.84	eV per atom
ΔE_f	-0.355	eV per atom


(16)
Density functional theory data (SCAN) for BeFeIr at its PBEsol-relaxed geometry.

```
BeFeIr
1.0
-0.278 -2.446 -0.774
1.374 -1.225 3.378
-3.778 0.571 -0.447
Be Fe Ir
1 1 1
Direct
0.814 0.000 0.000
0.846 0.333 0.667
0.340 0.667 0.333
```

Summary:
DFT total energy	-31.39	eV per atom
ΔE_f	-0.192	eV per atom
relative energy among the computed polymorphs	0.0	meV per atom


(17)
Density functional theory data (SCAN) for KBeFe4 at its PBEsol-relaxed geometry.

```
KBeFe4
1.0
4.934 0.000 0.000
2.467 4.273 0.000
2.467 1.424 4.029
Fe K Be
4 1 1
Direct
0.374 0.374 0.374
0.374 0.878 0.374
0.878 0.374 0.374
0.374 0.374 0.878
0.750 0.750 0.750
0.000 0.000 0.000
```

Summary:
DFT total energy	-13.34	eV per atom
ΔE_f	0.861	eV per atom


(18)
Density functional theory data (SCAN) for LaBe2Fe2 at its PBEsol-relaxed geometry.

```
LaBe2Fe2
1.0
3.689 0.000 0.000
0.000 3.689 0.000
-1.845 -1.845 5.284
Fe Be La
2 2 1
Direct
0.750 0.250 0.500
0.250 0.750 0.500
0.367 0.367 0.734
0.633 0.633 0.266
0.000 0.000 0.000
```

Summary:
DFT total energy	-17.53	eV per atom
ΔE_f	0.086	eV per atom


(19)
Density functional theory data (SCAN) for LaBe2Fe at its PBEsol-relaxed geometry.

```
LaBe2Fe
1.0
-0.215 0.298 -4.107
3.845 -1.457 -0.307
-4.556 -6.577 1.831
La Be Fe
2 4 2
Direct
0.250 0.750 0.500
0.000 0.000 0.000
0.625 0.875 0.250
0.625 0.375 0.750
0.125 0.375 0.750
0.625 0.375 0.250
0.500 0.500 0.000
0.750 0.250 0.500
```

Summary:
DFT total energy	-17.17	eV per atom
ΔE_f	0.313	eV per atom
relative energy among the computed polymorphs	0.0	meV per atom


(20)
Density functional theory data (SCAN) for LaBe3Fe at its PBEsol-relaxed geometry.

```
LaBe3Fe
1.0
-1.187 1.315 3.800
1.811 -3.363 1.729
3.591 2.131 0.384
Be Fe La
3 1 1
Direct
0.500 0.000 0.000
0.000 0.000 0.500
0.000 0.500 0.000
0.000 0.000 0.000
0.500 0.500 0.500
```

Summary:
DFT total energy	-14.73	eV per atom
ΔE_f	0.129	eV per atom